First-principles (GGA-PBE) data for an optimized crystal structure of Tb3PmP4, as listed in Alexandria via LeMat-Bulk.

DFT total energy	-106.115	eV/cell
total moment	0.000	Bohr magnetons per cell

Lattice parameters (Å, degrees): 8.107 11.465 4.056 90.00 90.00 90.00
Space group Cmmm (No. 65)
Asymmetric unit:
Tb  0.000  0.000  0.000
Tb  0.250  0.250  0.500
Pm  0.000  0.500  0.000
P  0.000  0.248  0.000
P  0.246  0.000  0.500

First-principles (GGA-PBE) data for an optimized crystal structure of YNpS4, as listed in Alexandria via LeMat-Bulk.

DFT total energy	-88.420	eV/cell
ΔE_f (raw)	-1382.6	meV per atom
total moment	3.997	Bohr magnetons per cell

Lattice parameters (Å, degrees): 8.757 8.902 4.089 90.00 90.00 90.00
Space group Cmmm (No. 65)
Asymmetric unit:
Y  0.000  0.000  0.000
Np  0.000  0.500  0.500
S  0.000  0.313  0.000
S  0.205  0.000  0.500

First-principles (GGA-PBE) data for an optimized crystal structure of HoAl6Fe3, as listed in Alexandria via LeMat-Bulk.

DFT total energy	-109.798	eV/cell
total moment	2.956	Bohr magnetons per cell

Lattice parameters (Å, degrees): 9.267 5.350 7.098 90.00 115.72 90.00
Space group Cm (No. 8)
Asymmetric unit:
Ho  0.000  0.000  0.000
Al  0.096  0.500  0.289
Al  0.147  0.251  0.691
Al  0.346  0.250  0.289
Al  0.398  0.000  0.691
Fe  0.137  0.000  0.411
Fe  0.159  0.500  0.977
Fe  0.328  0.000  0.983

First-principles (GGA-PBE) data for an optimized crystal structure of Mn2ReRu, as listed in Alexandria via LeMat-Bulk.

DFT total energy	-79.046	eV/cell
total moment	3.668	Bohr magnetons per cell

Lattice parameters (Å, degrees): 8.619 2.658 4.610 90.00 100.25 90.00
Space group C2/m (No. 12)
Asymmetric unit:
Mn  0.249  0.000  0.247
Re  0.000  0.000  0.500
Ru  0.000  0.500  0.000

First-principles (GGA-PBE) data for an optimized crystal structure of LiIr3O, as listed in Alexandria via LeMat-Bulk.

DFT total energy	-24.406	eV/cell
ΔE_f (raw)	1809.7	meV per atom
polymorph energy (0 for the lowest one)	1.207	eV per atom
total moment	3.497	Bohr magnetons per cell

Lattice parameters (Å, degrees): 4.143 4.143 4.143 90.00 90.00 90.00
Space group Pm-3m (No. 221)
Asymmetric unit:
Li  0.000  0.000  0.000
Ir  0.000  0.000  0.500
O  0.500  0.500  0.500

First-principles (GGA-PBE) data for an optimized crystal structure of MnNb2Ga3, as listed in Alexandria via LeMat-Bulk.

DFT total energy	-75.964	eV/cell
polymorph energy (0 for the lowest one)	0.337	eV per atom
total moment	6.973	Bohr magnetons per cell

Lattice parameters (Å, degrees): 4.614 5.262 8.499 90.00 90.00 90.00
Space group Immm (No. 71)
Asymmetric unit:
Mn  0.000  0.000  0.000
Nb  0.000  0.000  0.334
Ga  0.000  0.500  0.000
Ga  0.000  0.500  0.339

First-principles (GGA-PBE) data for an optimized crystal structure of ZnFe2Si, as listed in Alexandria via LeMat-Bulk.

DFT total energy	-89.635	eV/cell
ΔE_f (raw)	303.4	meV per atom
total moment	18.101	Bohr magnetons per cell

Lattice parameters (Å, degrees): 3.571 3.571 17.060 90.00 90.00 90.00
Space group I-42d (No. 122)
Asymmetric unit:
Zn  0.000  0.000  0.000
Fe  0.233  0.250  0.625
Si  0.000  0.000  0.500

First-principles (GGA-PBE) data for an optimized crystal structure of PrEuHgGe, as listed in Alexandria via LeMat-Bulk.

DFT total energy	-88.897	eV/cell
total moment	30.799	Bohr magnetons per cell

Lattice parameters (Å, degrees): 7.597 7.597 7.597 90.00 90.00 90.00
Space group F-43m (No. 216)
Asymmetric unit:
Pr  0.000  0.000  0.000
Eu  0.000  0.000  0.500
Hg  0.250  0.250  0.250
Ge  0.250  0.250  0.750

Please write out number 5 again, unchanged.
First-principles (GGA-PBE) data for an optimized crystal structure of LiIr3O, as listed in Alexandria via LeMat-Bulk.

DFT total energy	-24.406	eV/cell
ΔE_f (raw)	1809.7	meV per atom
polymorph energy (0 for the lowest one)	1.207	eV per atom
total moment	3.497	Bohr magnetons per cell

Lattice parameters (Å, degrees): 4.143 4.143 4.143 90.00 90.00 90.00
Space group Pm-3m (No. 221)
Asymmetric unit:
Li  0.000  0.000  0.000
Ir  0.000  0.000  0.500
O  0.500  0.500  0.500

What did the third record say?
First-principles (GGA-PBE) data for an optimized crystal structure of HoAl6Fe3, as listed in Alexandria via LeMat-Bulk.

DFT total energy	-109.798	eV/cell
total moment	2.956	Bohr magnetons per cell

Lattice parameters (Å, degrees): 9.267 5.350 7.098 90.00 115.72 90.00
Space group Cm (No. 8)
Asymmetric unit:
Ho  0.000  0.000  0.000
Al  0.096  0.500  0.289
Al  0.147  0.251  0.691
Al  0.346  0.250  0.289
Al  0.398  0.000  0.691
Fe  0.137  0.000  0.411
Fe  0.159  0.500  0.977
Fe  0.328  0.000  0.983